(1)
The following is a PBE calculation of MgZn2Pt2 after structural relaxation, from Alexandria.

```
MgZn2Pt2
1.0
7.390 0.000 0.000
0.000 7.390 0.000
0.000 0.000 2.888
Mg Zn Pt
2 4 4
direct
0.000 0.000 0.000
0.500 0.500 0.000
0.123 0.377 0.000
0.377 0.877 0.000
0.623 0.123 0.000
0.877 0.623 0.000
0.176 0.676 0.500
0.324 0.176 0.500
0.676 0.824 0.500
0.824 0.324 0.500
```

energy relative to the lowest polymorph listed for this composition: 0.00 kJ per mole of atoms
space group: No. 127
energy of formation from the pure elements: -0.599 eV per atom
total DFT energy (no corrections): -38.4 eV per cell


(2)
The following is a PBE calculation of Cd2CuOs after structural relaxation, from Alexandria.

```
Cd2CuOs
1.0
-2.037 2.037 4.045
2.037 -2.037 4.045
2.037 2.037 -4.045
Cd Cu Os
2 1 1
direct
0.000 0.000 0.000
0.750 0.250 0.500
0.250 0.750 0.500
0.500 0.500 0.000
```

energy relative to the lowest polymorph listed for this composition: 17.12 kJ per mole of atoms
space group: No. 119
energy of formation from the pure elements: 0.572 eV per atom
total DFT energy (no corrections): -14.9 eV per cell


(3)
The following is a PBE calculation of Dy4Tm7In after structural relaxation, from Alexandria.

```
Dy4Tm7In
1.0
11.024 -2.730 0.000
11.024 2.730 0.000
-1.180 0.000 6.173
Dy Tm In
4 7 1
direct
0.116 0.116 0.350
0.209 0.209 0.892
0.791 0.791 0.108
0.884 0.884 0.650
0.047 0.047 0.810
0.289 0.289 0.433
0.364 0.364 0.999
0.500 0.500 0.500
0.636 0.636 0.001
0.711 0.711 0.567
0.953 0.953 0.190
0.500 0.500 0.000
```

energy relative to the lowest polymorph listed for this composition: 0.00 kJ per mole of atoms
space group: No. 12
energy of formation from the pure elements: 0.032 eV per atom
total DFT energy (no corrections): -52.1 eV per cell


(4)
The following is a PBE calculation of LiReSb2Os after structural relaxation, from Alexandria.

```
LiReSb2Os
1.0
5.052 0.000 0.000
0.000 5.052 0.000
0.000 0.000 4.565
Li Re Sb Os
1 1 2 1
direct
0.000 0.000 0.000
0.000 0.000 0.500
0.000 0.500 0.500
0.500 0.000 0.500
0.500 0.500 0.000
```

formation energy from raw total energies: 1.4978 eV per atom
space group: No. 123
total DFT energy (no corrections): -26.3 eV per cell


(5)
The following is a PBE calculation of Li2AcAs after structural relaxation, from Alexandria.

```
Li2AcAs
1.0
2.120 1.224 5.655
-2.120 1.224 5.655
0.000 -2.448 5.655
Li Ac As
2 1 1
direct
0.200 0.200 0.200
0.800 0.800 0.800
0.000 0.000 0.000
0.500 0.500 0.500
```

energy relative to the lowest polymorph listed for this composition: 0.00 kJ per mole of atoms
space group: No. 166
energy of formation from the pure elements: -0.587 eV per atom
total DFT energy (no corrections): -14.9 eV per cell


(6)
The following is a PBE calculation of CaPuAgPd after structural relaxation, from Alexandria.

```
CaPuAgPd
1.0
0.000 3.616 3.616
3.616 0.000 3.616
3.616 3.616 0.000
Ca Pu Ag Pd
1 1 1 1
direct
0.000 0.000 0.000
0.500 0.500 0.500
0.250 0.250 0.250
0.750 0.750 0.750
```

space group: No. 216
energy of formation from the pure elements: -0.244 eV per atom
total DFT energy (no corrections): -25.4 eV per cell